[1]
# Ge5As3Se12, optimized geometry, DFT GGA-PBE
data_Ge5As3Se12
_symmetry_space_group_name_H-M 'P 1'
_symmetry_Int_Tables_number 1
_symmetry_space_group_name_Hall 'P 1'
_cell_length_a 13.812
_cell_length_b 13.812
_cell_length_c 13.812
_cell_angle_alpha 109.47
_cell_angle_beta 109.47
_cell_angle_gamma 109.47
loop_
_atom_site_label
_atom_site_type_symbol
_atom_site_fract_x
_atom_site_fract_y
_atom_site_fract_z
_atom_site_occupancy
As1 As 0.750 0.375 0.125 1
As2 As 0.875 0.750 0.125 1
As3 As 0.375 0.750 0.625 1
As4 As 0.250 0.125 0.375 1
As5 As 0.875 0.125 0.250 1
As6 As 0.375 0.625 0.250 1
As7 As 0.625 0.375 0.750 1
As8 As 0.125 0.875 0.750 1
As9 As 0.750 0.875 0.625 1
As10 As 0.625 0.250 0.375 1
As11 As 0.125 0.250 0.875 1
As12 As 0.250 0.625 0.875 1
Ge1 Ge 0.125 0.375 0.250 1
Ge2 Ge 0.000 0.500 0.000 1
Ge3 Ge 0.000 0.000 0.000 1
Ge4 Ge 0.375 0.250 0.125 1
Ge5 Ge 0.500 0.000 0.500 1
Ge6 Ge 0.500 0.500 0.000 1
Ge7 Ge 0.125 0.750 0.375 1
Ge8 Ge 0.750 0.125 0.875 1
Ge9 Ge 0.750 0.625 0.375 1
Ge10 Ge 0.375 0.125 0.750 1
Ge11 Ge 0.625 0.875 0.250 1
Ge12 Ge 0.500 0.500 0.500 1
Ge13 Ge 0.500 0.000 0.000 1
Ge14 Ge 0.000 0.000 0.500 1
Ge15 Ge 0.250 0.375 0.625 1
Ge16 Ge 0.250 0.875 0.125 1
Ge17 Ge 0.000 0.500 0.500 1
Ge18 Ge 0.875 0.250 0.625 1
Ge19 Ge 0.625 0.750 0.875 1
Ge20 Ge 0.875 0.625 0.750 1
Se1 Se 0.721 0.130 0.041 1
Se2 Se 0.320 0.541 0.411 1
Se3 Se 0.959 0.370 0.279 1
Se4 Se 0.541 0.221 0.130 1
Se5 Se 0.591 0.721 0.680 1
Se6 Se 0.959 0.589 0.180 1
Se7 Se 0.320 0.779 0.409 1
Se8 Se 0.089 0.909 0.130 1
Se9 Se 0.589 0.959 0.680 1
Se10 Se 0.721 0.591 0.180 1
Se11 Se 0.779 0.459 0.370 1
Se12 Se 0.820 0.911 0.041 1
Se13 Se 0.130 0.721 0.541 1
Se14 Se 0.370 0.411 0.091 1
Se15 Se 0.091 0.911 0.370 1
Se16 Se 0.409 0.130 0.589 1
Se17 Se 0.091 0.180 0.221 1
Se18 Se 0.459 0.680 0.089 1
Se19 Se 0.820 0.909 0.279 1
Se20 Se 0.130 0.409 0.089 1
Se21 Se 0.370 0.959 0.779 1
Se22 Se 0.589 0.630 0.409 1
Se23 Se 0.911 0.820 0.541 1
Se24 Se 0.779 0.320 0.909 1
Se25 Se 0.411 0.370 0.591 1
Se26 Se 0.089 0.180 0.459 1
Se27 Se 0.221 0.680 0.091 1
Se28 Se 0.180 0.091 0.721 1
Se29 Se 0.630 0.041 0.221 1
Se30 Se 0.870 0.591 0.911 1
Se31 Se 0.541 0.320 0.911 1
Se32 Se 0.591 0.870 0.411 1
Se33 Se 0.909 0.820 0.779 1
Se34 Se 0.909 0.089 0.630 1
Se35 Se 0.870 0.279 0.459 1
Se36 Se 0.180 0.089 0.959 1
Se37 Se 0.630 0.589 0.909 1
Se38 Se 0.411 0.041 0.320 1
Se39 Se 0.279 0.409 0.820 1
Se40 Se 0.221 0.541 0.630 1
Se41 Se 0.911 0.091 0.870 1
Se42 Se 0.680 0.221 0.591 1
Se43 Se 0.459 0.779 0.870 1
Se44 Se 0.041 0.411 0.820 1
Se45 Se 0.409 0.279 0.320 1
Se46 Se 0.041 0.630 0.721 1
Se47 Se 0.680 0.459 0.589 1
Se48 Se 0.279 0.870 0.959 1
# Crystal system = cubic
# Spin magnetization = 0.00 μB/f.u.
# Electronic total energy = -3.90 eV per atom
# ΔE_f (raw) = 4 kJ per mole of atoms
# Symmetry = Ia-3d
# Volume = 2028.32 Å³ per cell



[2]
# Tb4Pm5Cd2, optimized geometry, DFT GGA-PBE
data_Tb4Pm5Cd2
_symmetry_space_group_name_H-M 'P 1'
_symmetry_Int_Tables_number 1
_symmetry_space_group_name_Hall 'P 1'
_cell_length_a 3.552
_cell_length_b 8.845
_cell_length_c 11.049
_cell_angle_alpha 93.89
_cell_angle_beta 90.00
_cell_angle_gamma 90.00
loop_
_atom_site_label
_atom_site_type_symbol
_atom_site_fract_x
_atom_site_fract_y
_atom_site_fract_z
_atom_site_occupancy
Tb1 Tb 0.500 0.764 0.555 1
Tb2 Tb 0.500 0.156 0.877 1
Tb3 Tb 0.500 0.236 0.445 1
Tb4 Tb 0.500 0.844 0.123 1
Pm1 Pm 0.000 0.550 0.320 1
Pm2 Pm 0.000 0.199 0.161 1
Pm3 Pm 0.000 0.500 0.000 1
Pm4 Pm 0.000 0.801 0.839 1
Pm5 Pm 0.000 0.450 0.680 1
Cd1 Cd 0.000 0.066 0.638 1
Cd2 Cd 0.000 0.934 0.362 1
# DFT formation energy = 0.0 kcal/mol of atoms
# Crystal system = monoclinic
# Spin magnetization = 0.00 μB/f.u.
# Electronic total energy = -4.01 eV per atom
# Symmetry = P2/m
# Volume = 346.37 Å³ per cell



[3]
# PrNiP2Pd, optimized geometry, DFT GGA-PBE
data_PrNiP2Pd
_symmetry_space_group_name_H-M 'P 1'
_symmetry_Int_Tables_number 1
_symmetry_space_group_name_Hall 'P 1'
_cell_length_a 4.094
_cell_length_b 4.094
_cell_length_c 5.684
_cell_angle_alpha 111.11
_cell_angle_beta 111.11
_cell_angle_gamma 90.00
loop_
_atom_site_label
_atom_site_type_symbol
_atom_site_fract_x
_atom_site_fract_y
_atom_site_fract_z
_atom_site_occupancy
Pr1 Pr 0.000 0.000 0.000 1
Ni1 Ni 0.750 0.250 0.500 1
P1 P 0.619 0.619 0.239 1
P2 P 0.381 0.381 0.761 1
Pd1 Pd 0.250 0.750 0.500 1
# DFT formation energy = -21.2 kcal/mol of atoms
# Crystal system = tetragonal
# Spin magnetization = 0.00 μB/f.u.
# Electronic total energy = -6.23 eV per atom
# Symmetry = I-4m2
# Volume = 81.99 Å³ per cell



[4]
# K2RbPrF6, optimized geometry, DFT GGA-PBE
data_K2RbPrF6
_symmetry_space_group_name_H-M 'P 1'
_symmetry_Int_Tables_number 1
_symmetry_space_group_name_Hall 'P 1'
_cell_length_a 6.997
_cell_length_b 6.997
_cell_length_c 6.997
_cell_angle_alpha 60.00
_cell_angle_beta 60.00
_cell_angle_gamma 60.00
loop_
_atom_site_label
_atom_site_type_symbol
_atom_site_fract_x
_atom_site_fract_y
_atom_site_fract_z
_atom_site_occupancy
Pr1 Pr 0.000 0.000 0.000 1
K1 K 0.750 0.750 0.750 1
K2 K 0.250 0.250 0.250 1
Rb1 Rb 0.500 0.500 0.500 1
F1 F 0.232 0.768 0.768 1
F2 F 0.768 0.232 0.768 1
F3 F 0.232 0.768 0.232 1
F4 F 0.768 0.768 0.232 1
F5 F 0.768 0.232 0.232 1
F6 F 0.232 0.232 0.768 1
# Crystal system = cubic
# Spin magnetization = 0.00 μB/f.u.
# Electronic total energy = -5.07 eV per atom
# ΔE_f (raw) = -304 kJ per mole of atoms
# Symmetry = Fm-3m
# Volume = 242.27 Å³ per cell



[5]
# RbCrSb3, optimized geometry, DFT GGA-PBE
data_RbCrSb3
_symmetry_space_group_name_H-M 'P 1'
_symmetry_Int_Tables_number 1
_symmetry_space_group_name_Hall 'P 1'
_cell_length_a 5.306
_cell_length_b 5.306
_cell_length_c 5.306
_cell_angle_alpha 90.00
_cell_angle_beta 90.00
_cell_angle_gamma 90.00
loop_
_atom_site_label
_atom_site_type_symbol
_atom_site_fract_x
_atom_site_fract_y
_atom_site_fract_z
_atom_site_occupancy
Sb1 Sb 0.000 0.500 0.000 1
Sb2 Sb 0.000 0.000 0.500 1
Sb3 Sb 0.500 0.000 0.000 1
Rb1 Rb 0.500 0.500 0.500 1
Cr1 Cr 0.000 0.000 0.000 1
# Crystal system = cubic
# Spin magnetization = 2.14 μB/f.u.
# Electronic total energy = -4.44 eV per atom
# ΔE_f (raw) = 15 kJ per mole of atoms
# Symmetry = Pm-3m
# Volume = 149.39 Å³ per cell
# Distance to the lowest polymorph of the same formula = 0.00 eV/f.u.



[6]
# Nd3MgFe, optimized geometry, DFT GGA-PBE
data_Nd3MgFe
_symmetry_space_group_name_H-M 'P 1'
_symmetry_Int_Tables_number 1
_symmetry_space_group_name_Hall 'P 1'
_cell_length_a 5.322
_cell_length_b 5.322
_cell_length_c 5.322
_cell_angle_alpha 90.00
_cell_angle_beta 90.00
_cell_angle_gamma 90.00
loop_
_atom_site_label
_atom_site_type_symbol
_atom_site_fract_x
_atom_site_fract_y
_atom_site_fract_z
_atom_site_occupancy
Mg1 Mg 0.500 0.500 0.500 1
Nd1 Nd 0.000 0.500 0.000 1
Nd2 Nd 0.000 0.000 0.500 1
Nd3 Nd 0.500 0.000 0.000 1
Fe1 Fe 0.000 0.000 0.000 1
# DFT formation energy = 2.7 kcal/mol of atoms
# Crystal system = cubic
# Spin magnetization = 0.02 μB/f.u.
# Electronic total energy = -4.76 eV per atom
# Symmetry = Pm-3m
# Volume = 150.77 Å³ per cell



> electronic total energy of number 5 (RbCrSb3)?

-4.44 eV per atom